1.
Computed, not measured: a relaxed structure of Mn3BeBr at the PBE-GGA level of DFT.

Cell lengths 4.0138, 4.0138, 4.0138 Å; angles 90.00, 90.00, 90.00 degrees
Atoms (fractional coordinates):
Be: 0.0000 0.0000 0.0000
Mn: 0.0000 0.5000 0.0000
Mn: 0.0000 0.0000 0.5000
Mn: 0.5000 0.0000 0.0000
Br: 0.5000 0.5000 0.5000

Summary:
E_form (uncorrected) in eV/atom: 1.314
Total moment in μB/cell: 0.0
Total DFT energy (no corrections) in eV/f.u.: -26.34
Excess energy over the best structure of this formula in the dataset in meV per atom: 0.0

2.
Computed, not measured: a relaxed structure of MnBeBr2 at the PBE-GGA level of DFT.

Cell lengths 4.9956, 4.9956, 4.9956 Å; angles 60.00, 60.00, 60.00 degrees
Site moments in Bohr magnetons follow the coordinates.
Atoms (fractional coordinates):
Be: 0.5000 0.5000 0.5000  -0.01
Mn: 0.2500 0.2500 0.2500  4.29
Br: 0.0000 0.0000 0.0000  0.05
Br: 0.7500 0.7500 0.7500  0.04

Summary:
E_form (uncorrected) in eV/atom: 0.850
Total moment in μB/cell: 4.8
Total DFT energy (no corrections) in eV/f.u.: -12.84
Excess energy over the best structure of this formula in the dataset in meV per atom: 995.9

3.
Computed, not measured: a relaxed structure of MnBeBr2 at the PBE-GGA level of DFT.

Cell lengths 7.4727, 7.4727, 7.4727 Å; angles 153.52, 150.91, 39.74 degrees
Site moments in Bohr magnetons follow the coordinates.
Atoms (fractional coordinates):
Be: 0.2500 0.7500 0.5000  -0.11
Mn: 0.7500 0.2500 0.5000  3.55
Br: 0.1212 0.1212 0.0000  0.02
Br: 0.3788 0.3788 0.0000  0.02

Summary:
E_form (uncorrected) in eV/atom: -0.092
Total moment in μB/cell: 3.6
Total DFT energy (no corrections) in eV/f.u.: -16.61
Excess energy over the best structure of this formula in the dataset in meV per atom: 54.5

4.
Computed, not measured: a relaxed structure of Mn2BeBr at the PBE-GGA level of DFT.

Cell lengths 3.6030, 4.0091, 4.0091 Å; angles 90.00, 90.00, 90.00 degrees
Site moments in Bohr magnetons follow the coordinates.
Atoms (fractional coordinates):
Be: 0.5000 0.5000 0.0000  -0.12
Mn: 0.0000 0.0000 0.0000  3.32
Mn: 0.0000 0.5000 0.5000  3.32
Br: 0.5000 0.0000 0.5000  0.07

Summary:
E_form (uncorrected) in eV/atom: 0.731
Total moment in μB/cell: 6.8
Total DFT energy (no corrections) in eV/f.u.: -20.81
Excess energy over the best structure of this formula in the dataset in meV per atom: 461.7

5.
Computed, not measured: a relaxed structure of MnBeBr2 at the PBE-GGA level of DFT.

Cell lengths 8.6244, 8.6244, 8.6244 Å; angles 23.98, 23.98, 23.98 degrees
Site moments in Bohr magnetons follow the coordinates.
Atoms (fractional coordinates):
Be: 0.0000 0.0000 0.0000  0.02
Mn: 0.5000 0.5000 0.5000  4.13
Br: 0.9000 0.9000 0.9000  0.10
Br: 0.1000 0.1000 0.1000  0.10

Summary:
E_form (uncorrected) in eV/atom: 0.280
Total moment in μB/cell: 4.7
Total DFT energy (no corrections) in eV/f.u.: -15.12
Excess energy over the best structure of this formula in the dataset in meV per atom: 426.1

6.
Computed, not measured: a relaxed structure of MnBeBr2 at the PBE-GGA level of DFT.

Cell lengths 6.9146, 6.9146, 6.9146 Å; angles 149.28, 149.28, 44.00 degrees
Site moments in Bohr magnetons follow the coordinates.
Atoms (fractional coordinates):
Be: 0.7500 0.2500 0.5000  -0.08
Mn: 0.5000 0.5000 0.0000  3.96
Br: 0.0000 0.0000 0.0000  0.05
Br: 0.2500 0.7500 0.5000  -0.01

Summary:
E_form (uncorrected) in eV/atom: 0.436
Total moment in μB/cell: 3.9
Total DFT energy (no corrections) in eV/f.u.: -14.50
Excess energy over the best structure of this formula in the dataset in meV per atom: 581.9

Q: What is the total DFT energy (no corrections) in the fourth record?
A: -20.81 eV/f.u.